1.
# Ba2CN2 PBE optimized geometry
# Formation energy without anion corrections, eV per atom: -0.474
# Space group: I4/mmm, No. 139
data_Ba2CN2
_space_group_name_H-M_alt 'P 1'
_space_group_IT_number 1
_cell_length_a 5.840
_cell_length_b 5.840
_cell_length_c 5.840
_cell_angle_alpha 124.09
_cell_angle_beta 124.09
_cell_angle_gamma 83.06
loop_
_space_group_symop_operation_xyz
'x,y,z'
loop_
_atom_site_label
_atom_site_type_symbol
_atom_site_fract_x
_atom_site_fract_y
_atom_site_fract_z
_atom_site_occupancy
Ba1 Ba 0.250 0.750 0.500 1
Ba2 Ba 0.750 0.250 0.500 1
C1 C 0.000 0.000 0.000 1
N1 N 0.143 0.143 0.000 1
N2 N 0.857 0.857 0.000 1

=====

2.
# Ba5C2N6 PBE optimized geometry
# Formation energy without anion corrections, eV per atom: -0.470
# Space group: C2/c, No. 15
data_Ba5C2N6
_space_group_name_H-M_alt 'P 1'
_space_group_IT_number 1
_cell_length_a 6.125
_cell_length_b 6.125
_cell_length_c 14.110
_cell_angle_alpha 90.35
_cell_angle_beta 90.35
_cell_angle_gamma 72.89
loop_
_space_group_symop_operation_xyz
'x,y,z'
loop_
_atom_site_label
_atom_site_type_symbol
_atom_site_fract_x
_atom_site_fract_y
_atom_site_fract_z
_atom_site_occupancy
Ba1 Ba 0.168 0.832 0.750 1
Ba2 Ba 0.202 0.725 0.003 1
Ba3 Ba 0.219 0.436 0.318 1
Ba4 Ba 0.275 0.798 0.497 1
Ba5 Ba 0.436 0.219 0.818 1
Ba6 Ba 0.564 0.781 0.182 1
Ba7 Ba 0.725 0.202 0.503 1
Ba8 Ba 0.781 0.564 0.682 1
Ba9 Ba 0.798 0.275 0.997 1
Ba10 Ba 0.832 0.168 0.250 1
C1 C 0.251 0.308 0.592 1
C2 C 0.308 0.251 0.092 1
C3 C 0.692 0.749 0.908 1
C4 C 0.749 0.692 0.408 1
N1 N 0.141 0.177 0.644 1
N2 N 0.177 0.141 0.144 1
N3 N 0.270 0.287 0.495 1
N4 N 0.287 0.270 0.995 1
N5 N 0.345 0.459 0.641 1
N6 N 0.459 0.345 0.141 1
N7 N 0.541 0.655 0.859 1
N8 N 0.655 0.541 0.359 1
N9 N 0.713 0.730 0.005 1
N10 N 0.730 0.713 0.505 1
N11 N 0.823 0.859 0.856 1
N12 N 0.859 0.823 0.356 1

=====

3.
# Ba2C2N3 PBE optimized geometry
# Formation energy without anion corrections, eV per atom: -0.116
# Space group: P2/m, No. 10
data_Ba2C2N3
_space_group_name_H-M_alt 'P 1'
_space_group_IT_number 1
_cell_length_a 4.682
_cell_length_b 3.660
_cell_length_c 6.637
_cell_angle_alpha 90.00
_cell_angle_beta 92.10
_cell_angle_gamma 90.00
loop_
_space_group_symop_operation_xyz
'x,y,z'
loop_
_atom_site_label
_atom_site_type_symbol
_atom_site_fract_x
_atom_site_fract_y
_atom_site_fract_z
_atom_site_occupancy
Ba1 Ba 0.234 0.000 0.275 1
Ba2 Ba 0.766 0.000 0.725 1
C1 C 0.272 0.500 0.867 1
C2 C 0.728 0.500 0.133 1
N1 N 0.243 0.500 0.672 1
N2 N 0.500 0.500 0.000 1
N3 N 0.757 0.500 0.328 1

=====

no.,raw total energy (eV per atom)
1,-6.42
2,-6.47
3,-6.87